Here is Na3Tl2IrO6 after structural relaxation from Alexandria via LeMat-Bulk. Energies are from PBE-GGA.

Computed properties:
ρ	7.72	Mg/m³
spin magnetization	0.0	μB/f.u.
E_tot	-5.041	eV per atom
energy relative to the elements, uncorrected	-1.099	eV per atom

```
data_Na3Tl2IrO6
_space_group_name_H-M_alt 'C 1 2/m 1'
_space_group_IT_number 12
_space_group_name_Hall '-C 2y'
_cell_length_a 5.959
_cell_length_b 10.316
_cell_length_c 5.727
_cell_angle_alpha 90.00
_cell_angle_beta 110.56
_cell_angle_gamma 90.00
loop_
_atom_site_label
_atom_site_type_symbol
_atom_site_fract_x
_atom_site_fract_y
_atom_site_fract_z
_atom_site_occupancy
Na1 Na 0.000 0.000 0.000 1
Na2 Na 0.000 0.343 0.000 1
Tl1 Tl 0.000 0.168 0.500 1
Ir1 Ir 0.000 0.500 0.500 1
O1 O 0.212 0.357 0.714 1
O2 O 0.219 0.500 0.296 1
```